Below is a relaxed structure of Sr2CdNi, with properties calculated at the PBE-GGA level.

Magnetic moment: 0.00 μB/cell
Calculated formation energy: 0.035 eV per atom
Symmetry: C2/m, No. 12

```
Sr2CdNi
1.0
4.179 -0.053 0.043
2.088 3.620 0.043
2.068 1.177 8.712
Cd Sr Ni
1 2 1
Cartesian
6.251 3.558 6.599
4.168 2.373 3.937
6.266 3.567 0.549
2.084 1.186 2.200
```